Computed, not measured: a PBEsol-optimized structure of Ta2TeMo at the SCAN level of DFT.

Computed properties:
* symmetry: Imm2, No. 44
* uncorrected energy: -51.18 eV per atom

POSCAR file:
```
Ta2TeMo
1.0
-2.817 0.683 1.743
1.020 -3.240 2.918
3.238 4.339 0.251
Ta Mo Te
2 1 1
Direct
0.007 0.007 0.014 Ta
0.255 0.755 0.509 Ta
0.746 0.246 0.491 Mo
0.493 0.493 0.985 Te
```